No. 1
Compound: SmOsCl
Source: Alexandria via LeMat-Bulk
Functional: PBE
Structure: optimized geometry

As for the calculated volume: 166.8 Å³ per cell. The space-group type is C2/m, No. 12. Its magnetic moment is 0.0 Bohr magnetons per cell. Its formation energy without anion corrections is -1111 meV per atom.

Geometry as POSCAR:
```
SmOsCl
1.0
3.5771 -2.1111 0.0000
3.5771 2.1111 0.0000
-0.4640 0.0000 11.0428
Sm Os Cl
2 2 2
direct
0.0127 0.0127 0.1903 Sm
0.9873 0.9873 0.8097 Sm
0.3291 0.3291 0.0145 Os
0.6709 0.6709 0.9855 Os
0.3173 0.3173 0.6601 Cl
0.6827 0.6827 0.3399 Cl
```


No. 2
Compound: Sm4OsCl5
Source: Alexandria via LeMat-Bulk
Functional: PBE
Structure: optimized geometry

As for the calculated volume: 305.0 Å³ per cell. The space-group type is C2/m, No. 12. Its magnetic moment is 0.1 Bohr magnetons per cell. Its formation energy without anion corrections is -1569 meV per atom.

Geometry as POSCAR:
```
Sm4OsCl5
1.0
9.0643 -2.0215 0.0000
9.0643 2.0215 0.0000
-2.3377 0.0000 8.3239
Sm Os Cl
4 1 5
direct
0.0019 0.0019 0.2306 Sm
0.3483 0.3483 0.9090 Sm
0.6517 0.6517 0.0910 Sm
0.9981 0.9981 0.7694 Sm
0.5000 0.5000 0.0000 Os
0.1688 0.1688 0.3263 Cl
0.1720 0.1720 0.8664 Cl
0.5000 0.5000 0.5000 Cl
0.8280 0.8280 0.1336 Cl
0.8312 0.8312 0.6737 Cl
```